Density functional theory data (PBE) for crystalline BeCr2As at its relaxed geometry.

abc: 2.6398 3.7789 4.8471
angles: 90.00 100.46 90.00
Fractional coordinates of all 4 atoms:
Be1 0.0000 0.0000 0.0000
Cr1 0.2927 0.5000 0.7712
Cr2 0.7073 0.5000 0.2288
As1 0.5000 0.0000 0.5000

Computed properties:
* DOS(E_F): 3.752 states/eV per cell
* total magnetic moment: 0.00 Bohr magnetons per cell
* ΔE_f: 0.208 eV/atom
* VASP energy: -6.70 eV/atom